LiNp2PaS6: optimized geometry, PBE-GGA.

Cell: 6.2994 6.2994 6.4349 Å, 90.00 90.00 90.00°
Last column: nearest neighbours and their distance in Å.
Space group P4mm (No. 99)
Inequivalent atoms, fractional coordinates:
Li 0.0000 0.0000 0.0000  5 S 2.36-2.53
Np 0.0000 0.5000 0.4635  4 S 2.76
Pa 0.5000 0.5000 0.0496  5 S 2.54-2.68
S 0.0000 0.0000 0.6334  1 Li 2.36
S 0.2397 0.2397 0.2096  1 Li 2.53, 1 Pa 2.54, 2 Np 2.76
S 0.5000 0.5000 0.6329  1 Pa 2.68

**Total energy**: -7.298 eV/atom
**Density of states at the Fermi level**: 19.0 states/eV/cell
**Uncorrected formation energy**: -1.0926 eV per atom